No. 1
# Ac3TbAl2O9, optimized geometry, DFT PBE
# Theoretical density = 8.64 Mg/m³
# Total moment = 0.00 μB/atom
data_Ac3TbAl2O9
_cell_length_a 5.666
_cell_length_b 5.666
_cell_length_c 7.172
_cell_angle_alpha 90.00
_cell_angle_beta 90.00
_cell_angle_gamma 120.00
_symmetry_space_group_name_H-M 'P 1'
_symmetry_Int_Tables_number 1
loop_
_symmetry_equiv_pos_as_xyz
'x,y,z'
loop_
_atom_site_label
_atom_site_type_symbol
_atom_site_fract_x
_atom_site_fract_y
_atom_site_fract_z
Ac1 Ac 0.000 0.000 0.000
Ac2 Ac 0.333 0.667 0.702
Ac3 Ac 0.667 0.333 0.298
Tb1 Tb 0.000 0.000 0.500
Al1 Al 0.333 0.667 0.164
Al2 Al 0.667 0.333 0.836
O1 O 0.000 0.500 0.000
O2 O 0.175 0.350 0.307
O3 O 0.175 0.825 0.307
O4 O 0.350 0.175 0.693
O5 O 0.500 0.000 0.000
O6 O 0.500 0.500 0.000
O7 O 0.650 0.825 0.307
O8 O 0.825 0.175 0.693
O9 O 0.825 0.650 0.693

***

No. 2
# Li2OsAuN, optimized geometry, DFT PBE
# Theoretical density = 10.88 Mg/m³
# Total moment = 0.00 μB/atom
data_Li2OsAuN
_cell_length_a 4.071
_cell_length_b 4.071
_cell_length_c 3.824
_cell_angle_alpha 90.00
_cell_angle_beta 90.00
_cell_angle_gamma 90.00
_symmetry_space_group_name_H-M 'P 1'
_symmetry_Int_Tables_number 1
loop_
_symmetry_equiv_pos_as_xyz
'x,y,z'
loop_
_atom_site_label
_atom_site_type_symbol
_atom_site_fract_x
_atom_site_fract_y
_atom_site_fract_z
Li1 Li 0.000 0.500 0.000
Li2 Li 0.500 0.000 0.000
Os1 Os 0.000 0.000 0.500
Au1 Au 0.500 0.500 0.500
N1 N 0.000 0.000 0.000

***

No. 3
# SiOsSe2, optimized geometry, DFT PBE
# Theoretical density = 7.74 Mg/m³
# Total moment = 0.00 μB/atom
data_SiOsSe2
_cell_length_a 4.720
_cell_length_b 3.827
_cell_length_c 5.051
_cell_angle_alpha 90.00
_cell_angle_beta 117.75
_cell_angle_gamma 90.00
_symmetry_space_group_name_H-M 'P 1'
_symmetry_Int_Tables_number 1
loop_
_symmetry_equiv_pos_as_xyz
'x,y,z'
loop_
_atom_site_label
_atom_site_type_symbol
_atom_site_fract_x
_atom_site_fract_y
_atom_site_fract_z
Si1 Si 0.000 0.000 0.000
Os1 Os 0.500 0.000 0.000
Se1 Se 0.318 0.500 0.636
Se2 Se 0.682 0.500 0.364

***

no.,formation energy without anion corrections (meV/atom)
1,-3241
2,-246
3,138